No. 1
Below is a relaxed structure of TlMo2Cl, with properties calculated at the GGA-PBEsol level.

Lattice parameters (Å, degrees): 2.884 4.835 5.050 90.00 90.00 90.00
Fractional coordinates of all 4 atoms:
Cl  0.000  0.500  0.500
Mo  0.500  0.000  0.500
Mo  0.000  0.000  0.000
Tl  0.500  0.500  0.000

## Properties
- E: -25.1 eV/cell
- Raw formation energy: 0.778 eV/atom
- Space-group type: Pmmm

No. 2
Below is a relaxed structure of Tl2MoCl, with properties calculated at the GGA-PBEsol level.

Lattice parameters (Å, degrees): 4.992 4.992 4.992 60.00 60.00 60.00
Last column: magnetic moment on the atom in μB.
Fractional coordinates of all 4 atoms:
Tl  0.000  0.000  0.000  -0.02
Mo  0.250  0.250  0.250  2.85
Cl  0.500  0.500  0.500  -0.02
Tl  0.750  0.750  0.750  -0.01

## Properties
- E: -16.1 eV/cell
- Raw formation energy: 0.725 eV/atom
- Space-group type: F-43m

No. 3
Below is a relaxed structure of TlMo2Cl, with properties calculated at the GGA-PBEsol level.

Lattice parameters (Å, degrees): 3.172 3.172 9.544 80.43 80.43 60.00
Fractional coordinates of all 4 atoms:
Tl  0.492  0.492  0.524
Cl  0.272  0.272  0.184
Mo  0.005  0.005  0.984
Mo  0.731  0.731  0.808

## Properties
- E: -27.5 eV/cell
- Raw formation energy: 0.161 eV/atom
- Space-group type: R3m

| no. | energy relative to the lowest polymorph listed for this composition (meV/atom) |
| --- | --- |
| 1 | 616 |
| 2 | 308 |
| 3 | 0 |